A plane-wave DFT calculation with PBE was carried out for a relaxed NaCeGe2 crystal.

Lattice parameters (Å, degrees): 4.5849 4.5849 4.2005 90.00 90.00 90.00
Closest atoms and distances in Å follow each position.
Fractional coordinates of all 4 atoms:
Na 0.0000 0.0000 0.0000  8 Ge 3.11, 4 Ce 3.24
Ce 0.5000 0.5000 0.0000  8 Ge 3.11, 4 Na 3.24
Ge 0.0000 0.5000 0.5000  4 Ce 3.11, 4 Na 3.11, 4 Ge 3.24
Ge 0.5000 0.0000 0.5000  4 Ce 3.11, 4 Na 3.11, 4 Ge 3.24

Summary:
As for the energy relative to the lowest polymorph listed for this composition: 0 meV per atom. For the energy relative to the elements, the calculation gives -364 meV/atom.

---

A plane-wave DFT calculation with PBE was carried out for a relaxed NaCeGe2 crystal.

Lattice parameters (Å, degrees): 5.0257 5.0257 5.0257 60.00 60.00 60.00
Closest atoms and distances in Å follow each position.
Fractional coordinates of all 4 atoms:
Na 0.0000 0.0000 0.0000  8 Ge 3.08
Ce 0.5000 0.5000 0.5000  8 Ge 3.08
Ge 0.2500 0.2500 0.2500  4 Ce 3.08, 4 Na 3.08
Ge 0.7500 0.7500 0.7500  4 Ce 3.08, 4 Na 3.08

Summary:
As for the energy relative to the lowest polymorph listed for this composition: 47 meV per atom. For the energy relative to the elements, the calculation gives -317 meV/atom.

---

A plane-wave DFT calculation with PBE was carried out for a relaxed NaCeGe crystal.

Lattice parameters (Å, degrees): 9.3817 9.3817 9.3817 29.03 29.03 29.03
Closest atoms and distances in Å follow each position.
Fractional coordinates of all 6 atoms:
Na 0.1326 0.1326 0.1326  3 Ge 3.04, 3 Na 3.28
Na 0.8674 0.8674 0.8674  3 Ge 3.04, 3 Na 3.28
Ce 0.2935 0.2935 0.2935  4 Ge 2.94-3.28
Ce 0.7065 0.7065 0.7065  4 Ge 2.94-3.28
Ge 0.4151 0.4151 0.4151  4 Ce 2.94-3.28, 3 Na 3.04
Ge 0.5849 0.5849 0.5849  4 Ce 2.94-3.28, 3 Na 3.04

Summary:
For the energy relative to the elements, the calculation gives -168 meV/atom.

---

A plane-wave DFT calculation with PBE was carried out for a relaxed NaCeGeO5 crystal.

Lattice parameters (Å, degrees): 5.9634 5.9634 8.0208 103.18 103.18 106.89
Closest atoms and distances in Å follow each position.
Fractional coordinates of all 16 atoms:
Na 0.1630 0.8370 0.7500  5 O 2.42-2.59
Na 0.8370 0.1630 0.2500  5 O 2.42-2.59
Ce 0.5000 0.5000 0.0000  6 O 2.16-2.29
Ce 0.5000 0.5000 0.5000  6 O 2.16-2.29
Ge 0.1784 0.8216 0.2500  4 O 1.77-1.78
Ge 0.8216 0.1784 0.7500  4 O 1.77-1.78
O 0.1079 0.2367 0.9101  1 Ge 1.77
O 0.1746 0.5911 0.3576  1 Ge 1.78
O 0.2367 0.1079 0.4101  1 Ge 1.77
O 0.4089 0.8254 0.1424  1 Ge 1.78
O 0.4155 0.5845 0.7500  2 Ce 2.16, 1 Na 2.42
O 0.5845 0.4155 0.2500  2 Ce 2.16, 1 Na 2.42
O 0.5911 0.1746 0.8576  1 Ge 1.78
O 0.7633 0.8921 0.5899  1 Ge 1.77
O 0.8254 0.4089 0.6424  1 Ge 1.78
O 0.8921 0.7633 0.0899  1 Ge 1.77

Summary:
The uncorrected formation energy is -2.085 eV/atom.

---

A plane-wave DFT calculation with PBE was carried out for a relaxed NaCeGe2O6 crystal.

Lattice parameters (Å, degrees): 7.4259 7.4259 5.6597 100.66 100.66 87.25
Closest atoms and distances in Å follow each position.
Fractional coordinates of all 20 atoms:
Na 0.1577 0.8423 0.7500  6 O 2.48-2.66
Na 0.8423 0.1577 0.2500  6 O 2.48-2.66
Ce 0.3816 0.6184 0.2500  6 O 2.27-2.51
Ce 0.6184 0.3816 0.7500  6 O 2.27-2.51
Ge 0.1241 0.2915 0.7526  4 O 1.74-1.82
Ge 0.2915 0.1241 0.2526  4 O 1.74-1.82
Ge 0.7085 0.8759 0.7474  4 O 1.74-1.82
Ge 0.8759 0.7085 0.2474  4 O 1.74-1.82
O 0.0980 0.6340 0.3483  1 Ge 1.74
O 0.1122 0.1746 0.0057  2 Ge 1.82
O 0.1746 0.1122 0.5057  2 Ge 1.82
O 0.3027 0.4520 0.8469  1 Ge 1.77
O 0.3660 0.9020 0.1517  1 Ge 1.74
O 0.4520 0.3027 0.3469  1 Ge 1.77
O 0.5480 0.6973 0.6531  1 Ge 1.77
O 0.6340 0.0980 0.8483  1 Ge 1.74
O 0.6973 0.5480 0.1531  1 Ge 1.77
O 0.8254 0.8878 0.4943  2 Ge 1.82
O 0.8878 0.8254 0.9943  2 Ge 1.82
O 0.9020 0.3660 0.6517  1 Ge 1.74

Summary:
The uncorrected formation energy is -2.147 eV/atom.

---

A plane-wave DFT calculation with PBE was carried out for a relaxed NaCeGePb crystal.

Lattice parameters (Å, degrees): 5.2702 5.2702 5.2702 60.00 60.00 60.00
Closest atoms and distances in Å follow each position.
Fractional coordinates of all 4 atoms:
Na 0.0000 0.0000 0.0000  4 Pb 3.23, 4 Ge 3.23
Ce 0.5000 0.5000 0.5000  4 Ge 3.23, 4 Pb 3.23
Ge 0.2500 0.2500 0.2500  4 Ce 3.23, 4 Na 3.23
Pb 0.7500 0.7500 0.7500  4 Ce 3.23, 4 Na 3.23

Summary:
For the energy relative to the elements, the calculation gives -236 meV/atom.

---

A plane-wave DFT calculation with PBE was carried out for a relaxed NaCeGe2Pd5 crystal.

Lattice parameters (Å, degrees): 4.2251 4.2251 9.2722 90.00 90.00 90.00
Closest atoms and distances in Å follow each position.
Fractional coordinates of all 9 atoms:
Na 0.0000 0.0000 0.0000  8 Ge 3.24, 8 Pd 3.33
Ce 0.0000 0.0000 0.5000  12 Pd 2.96-2.99
Ge 0.5000 0.5000 0.1341  1 Ge 2.49, 4 Pd 2.49
Ge 0.5000 0.5000 0.8659  1 Ge 2.49, 4 Pd 2.49
Pd 0.0000 0.5000 0.2771  2 Ge 2.49
Pd 0.0000 0.5000 0.7229  2 Ge 2.49
Pd 0.5000 0.0000 0.2771  2 Ge 2.49
Pd 0.5000 0.0000 0.7229  2 Ge 2.49
Pd 0.5000 0.5000 0.5000  8 Pd 2.96, 4 Ce 2.99

Summary:
For the energy relative to the elements, the calculation gives -593 meV/atom.

---

A plane-wave DFT calculation with PBE was carried out for a relaxed NaCe2Ge3Pt4 crystal.

Lattice parameters (Å, degrees): 4.2423 4.2423 10.9464 90.00 90.00 90.00
Closest atoms and distances in Å follow each position.
Fractional coordinates of all 10 atoms:
Na 0.0000 0.0000 0.0000  4 Pt 2.68, 4 Ge 3.00
Ce 0.0000 0.5000 0.7436  8 Pt 3.22-3.41, 6 Ge 3.26-3.52, 2 Na 3.52
Ce 0.5000 0.0000 0.2564  8 Pt 3.22-3.41, 6 Ge 3.26-3.52, 2 Na 3.52
Ge 0.0000 0.5000 0.3726  5 Pt 2.44-2.54
Ge 0.5000 0.0000 0.6274  5 Pt 2.44-2.54
Ge 0.5000 0.5000 0.0000  4 Pt 2.68, 4 Na 3.00
Pt 0.0000 0.0000 0.5000  4 Ge 2.54
Pt 0.0000 0.5000 0.1500  3 Ge 2.44-2.68, 2 Na 2.68
Pt 0.5000 0.0000 0.8500  3 Ge 2.44-2.68, 2 Na 2.68
Pt 0.5000 0.5000 0.5000  4 Ge 2.54

Summary:
For the energy relative to the elements, the calculation gives -764 meV/atom.

---

A plane-wave DFT calculation with PBE was carried out for a relaxed NaCeGeS4 crystal.

Lattice parameters (Å, degrees): 7.8142 7.8142 7.8142 121.93 117.35 90.67
Closest atoms and distances in Å follow each position.
Fractional coordinates of all 14 atoms:
Na 0.5000 0.0000 0.0000  6 S 2.85-2.87
Na 0.5000 0.5000 0.5000  6 S 2.85-2.87
Ce 0.0000 0.0000 0.0000  6 S 2.74-2.81
Ce 0.5000 0.0000 0.5000  6 S 2.74-2.81
Ge 0.1097 0.3597 0.7500  4 S 2.26-2.35
Ge 0.8903 0.6403 0.2500  4 S 2.26-2.35
S 0.2345 0.2495 0.9850  1 Ge 2.26
S 0.2354 0.7505 0.4850  1 Ge 2.26
S 0.2410 0.2465 0.5056  1 Ge 2.35
S 0.2410 0.7354 0.9944  1 Ge 2.35
S 0.7590 0.2646 0.0056  1 Ge 2.35
S 0.7590 0.7535 0.4944  1 Ge 2.35
S 0.7645 0.2495 0.5150  1 Ge 2.26
S 0.7655 0.7505 0.0150  1 Ge 2.26

Summary:
The uncorrected formation energy is -1.039 eV/atom.

---

A plane-wave DFT calculation with PBE was carried out for a relaxed Na3Ce3GeS8 crystal.

Lattice parameters (Å, degrees): 8.0740 8.0740 8.0740 60.49 60.49 60.49
Closest atoms and distances in Å follow each position.
Fractional coordinates of all 15 atoms:
Na 0.0000 0.5000 0.5000  6 S 2.92-2.99
Na 0.5000 0.0000 0.5000  6 S 2.92-2.99
Na 0.5000 0.5000 0.0000  6 S 2.92-2.99
Ce 0.0000 0.0000 0.5000  6 S 2.75-2.81
Ce 0.0000 0.5000 0.0000  6 S 2.75-2.81
Ce 0.5000 0.0000 0.0000  6 S 2.75-2.81
Ge 0.5000 0.5000 0.5000  6 S 2.71
S 0.2429 0.7360 0.7360  1 Ge 2.71, 2 Ce 2.75, 2 Na 2.99
S 0.2449 0.2449 0.2449  3 Ce 2.81, 3 Na 2.92
S 0.2640 0.2640 0.7571  1 Ge 2.71, 2 Ce 2.75, 2 Na 2.99
S 0.2640 0.7571 0.2640  1 Ge 2.71, 2 Ce 2.75, 2 Na 2.99
S 0.7360 0.2429 0.7360  1 Ge 2.71, 2 Ce 2.75, 2 Na 2.99
S 0.7360 0.7360 0.2429  1 Ge 2.71, 2 Ce 2.75, 2 Na 2.99
S 0.7551 0.7551 0.7551  3 Ce 2.81, 3 Na 2.92
S 0.7571 0.2640 0.2640  1 Ge 2.71, 2 Ce 2.75, 2 Na 2.99

Summary:
The uncorrected formation energy is -1.465 eV/atom.

---

A plane-wave DFT calculation with PBE was carried out for a relaxed Na2CeGeSe4 crystal.

Lattice parameters (Å, degrees): 7.2242 4.1874 7.2499 90.00 108.79 90.00
Closest atoms and distances in Å follow each position.
Fractional coordinates of all 8 atoms:
Na 0.0000 0.0000 0.0000  6 Se 3.05-3.08
Na 0.5000 0.5000 0.0000  6 Se 3.05-3.07
Ce 0.0000 0.5000 0.5000  6 Se 2.83-2.89
Ge 0.5000 0.0000 0.5000  6 Se 2.84-2.87
Se 0.2452 0.0000 0.7275  1 Ge 2.84, 2 Ce 2.89, 3 Na 3.05
Se 0.2572 0.5000 0.2774  1 Ce 2.83, 2 Ge 2.87, 3 Na 3.07-3.08
Se 0.7428 0.5000 0.7226  1 Ce 2.83, 2 Ge 2.87, 3 Na 3.07-3.08
Se 0.7548 0.0000 0.2725  1 Ge 2.84, 2 Ce 2.89, 3 Na 3.05

Summary:
The uncorrected formation energy is -1.133 eV/atom.

---

A plane-wave DFT calculation with PBE was carried out for a relaxed Na3CeGe2Se6 crystal.

Lattice parameters (Å, degrees): 7.0759 7.0759 7.3282 99.26 99.26 119.98
Closest atoms and distances in Å follow each position.
Fractional coordinates of all 12 atoms:
Na 0.0000 0.0000 0.0000  6 Se 3.00-3.07
Na 0.3319 0.6681 0.0000  6 Se 3.00-3.07
Na 0.6681 0.3319 0.0000  6 Se 3.00-3.07
Ce 0.5000 0.5000 0.5000  6 Se 2.86
Ge 0.1663 0.8337 0.5000  6 Se 2.80
Ge 0.8337 0.1663 0.5000  6 Se 2.80
Se 0.0855 0.4261 0.2781  2 Ge 2.80, 1 Ce 2.86, 3 Na 3.00-3.07
Se 0.2339 0.2339 0.7230  2 Ge 2.80, 1 Ce 2.86, 3 Na 3.00-3.07
Se 0.4261 0.0855 0.2781  2 Ge 2.80, 1 Ce 2.86, 3 Na 3.00-3.07
Se 0.5739 0.9145 0.7219  2 Ge 2.80, 1 Ce 2.86, 3 Na 3.00-3.07
Se 0.7661 0.7661 0.2770  2 Ge 2.80, 1 Ce 2.86, 3 Na 3.00-3.07
Se 0.9145 0.5739 0.7219  2 Ge 2.80, 1 Ce 2.86, 3 Na 3.00-3.07

Summary:
The uncorrected formation energy is -0.923 eV/atom.

---

For each record above, in turn, the calculated DFT total energy values are -17.94, -17.76, -24.75, -106.68, -135.41, -16.52, -47.79, -58.84, -71.30, -81.37, -36.19, -51.11 eV/cell.